# YHoGe2Os (PBE, optimized geometry)
# ρ	9.47	g/cm³
# raw total energy	-0.2576	Ha/atom
data_YHoGe2Os
_symmetry_space_group_name_H-M 'C 1 2/m 1'
_symmetry_Int_Tables_number 12
_symmetry_space_group_name_Hall '-C 2y'
_cell_length_a 10.762
_cell_length_b 4.301
_cell_length_c 10.135
_cell_angle_alpha 90.00
_cell_angle_beta 118.22
_cell_angle_gamma 90.00
loop_
_atom_site_label
_atom_site_type_symbol
_atom_site_fract_x
_atom_site_fract_y
_atom_site_fract_z
_atom_site_occupancy
Y1 Y 0.184 0.000 0.113 1
Ho1 Ho 0.003 0.000 0.674 1
Ge1 Ge 0.012 0.500 0.874 1
Ge2 Ge 0.143 0.500 0.563 1
Os1 Os 0.230 0.500 0.370 1